## A
VASP calculation (PBE-GGA) on CaAg3Se after structural relaxation.

## Properties
total magnetic moment = 0.0 μB per cell
theoretical density = 4.8 g/cm³
N(E_F) = 7.50 states/eV/cell

Lattice parameters (Å, degrees): 5.3484 5.3484 5.3484 90.00 90.00 90.00
Closest atoms and distances in Å follow each position.
Sites, in units of the cell vectors:
Ag (0.5000, 0.0000, 0.0000)  2 Ca 2.67
Ag (0.0000, 0.0000, 0.5000)  2 Ca 2.67
Ag (0.0000, 0.5000, 0.0000)  2 Ca 2.67
Ca (0.0000, 0.0000, 0.0000)  6 Ag 2.67
Se (0.5000, 0.5000, 0.5000)  12 Ag 3.78


## B
VASP calculation (PBE-GGA) on CaAg3Se after structural relaxation.

## Properties
total magnetic moment = 0.0 μB per cell
theoretical density = 5.4 g/cm³
N(E_F) = 3.00 states/eV/cell

Lattice parameters (Å, degrees): 5.1326 5.1326 5.1326 90.00 90.00 90.00
Closest atoms and distances in Å follow each position.
Sites, in units of the cell vectors:
Ca (0.5000, 0.5000, 0.5000)  12 Ag 3.63
Ag (0.0000, 0.5000, 0.0000)  2 Se 2.57
Ag (0.0000, 0.0000, 0.5000)  2 Se 2.57
Ag (0.5000, 0.0000, 0.0000)  2 Se 2.57
Se (0.0000, 0.0000, 0.0000)  6 Ag 2.57


The computed energies, referenced to the most stable structure and given in eV/atom, are A 0.811; B 0.000.


## A
VASP calculation (PBE-GGA) on CaAg2TeSe after structural relaxation.

## Properties
total magnetic moment = 0.0 μB per cell
theoretical density = 5.4 g/cm³
N(E_F) = 0.00 states/eV/cell

Lattice parameters (Å, degrees): 4.9809 5.7320 4.9809 90.00 90.00 90.00
Closest atoms and distances in Å follow each position.
Sites, in units of the cell vectors:
Te (0.5000, 0.5000, 0.5000)  4 Ca 3.52, 8 Ag 3.80
Ca (0.0000, 0.5000, 0.0000)  2 Se 2.87
Ag (0.5000, 0.0000, 0.0000)  2 Se 2.49
Ag (0.0000, 0.0000, 0.5000)  2 Se 2.49
Se (0.0000, 0.0000, 0.0000)  4 Ag 2.49


## B
VASP calculation (PBE-GGA) on CaAg2TeSe after structural relaxation.

## Properties
total magnetic moment = 0.0 μB per cell
theoretical density = 5.6 g/cm³

Lattice parameters (Å, degrees): 6.2013 6.2013 8.3244 111.87 111.87 90.00
Closest atoms and distances in Å follow each position.
Sites, in units of the cell vectors:
Se (0.7834, 0.2834, 0.5668)  2 Ag 2.72
Se (0.2834, 0.7834, 0.5668)  2 Ag 2.72
Te (0.0530, 0.0530, 0.1061)  4 Ag 2.77
Te (0.5530, 0.5530, 0.1061)  4 Ag 2.77
Ag (0.2792, 0.7792, 0.8908)  1 Se 2.72, 2 Te 2.77, 1 Ag 2.92
Ag (0.6116, 0.1116, 0.8908)  1 Se 2.72, 2 Te 2.77, 1 Ag 2.92
Ag (0.7792, 0.6116, 0.8908)  1 Se 2.72, 2 Te 2.77, 1 Ag 2.92
Ag (0.1116, 0.2792, 0.8908)  1 Se 2.72, 2 Te 2.77, 1 Ag 2.92
Ca (0.2730, 0.2730, 0.5460)  4 Se 3.10, 1 Te 3.11, 4 Ag 3.36
Ca (0.7730, 0.7730, 0.5460)  4 Se 3.10, 1 Te 3.11, 4 Ag 3.36


The computed energies, referenced to the most stable structure and given in eV/atom, are A 0.191; B 0.000.


## A
VASP calculation (PBE-GGA) on Ca2Si2Ag after structural relaxation.

## Properties
total magnetic moment = 0.0 μB per cell
theoretical density = 3.6 g/cm³
N(E_F) = 7.40 states/eV/cell

Lattice parameters (Å, degrees): 7.1098 7.1098 4.4315 90.00 90.00 90.00
Closest atoms and distances in Å follow each position.
Sites, in units of the cell vectors:
Ca (0.3255, 0.1745, 0.5000)  6 Si 3.03-3.07
Ca (0.6745, 0.8255, 0.5000)  6 Si 3.03-3.07
Ca (0.1745, 0.6745, 0.5000)  6 Si 3.03-3.07
Ca (0.8255, 0.3255, 0.5000)  6 Si 3.03-3.07
Ag (0.0000, 0.0000, 0.0000)  4 Si 2.83
Ag (0.5000, 0.5000, 0.0000)  4 Si 2.83
Si (0.6203, 0.1203, 0.0000)  1 Si 2.42
Si (0.3797, 0.8797, 0.0000)  1 Si 2.42
Si (0.8797, 0.6203, 0.0000)  1 Si 2.42
Si (0.1203, 0.3797, 0.0000)  1 Si 2.42


## B
VASP calculation (PBE-GGA) on Ca2Si2Ag after structural relaxation.

## Properties
total magnetic moment = 0.0 μB per cell
theoretical density = 3.7 g/cm³
N(E_F) = 3.24 states/eV/cell

Lattice parameters (Å, degrees): 4.4453 5.8230 9.5542 82.99 76.55 67.56
Closest atoms and distances in Å follow each position.
Sites, in units of the cell vectors:
Si (0.1255, 0.3091, 0.4400)  1 Si 2.37, 2 Ag 2.62
Si (0.8745, 0.6909, 0.5600)  1 Si 2.37, 2 Ag 2.62
Si (0.9848, 0.1373, 0.8931)  1 Si 2.43, 1 Ag 2.67
Si (0.0152, 0.8627, 0.1069)  1 Si 2.43, 1 Ag 2.67
Ag (0.2289, 0.8953, 0.6469)  4 Si 2.62-2.89
Ag (0.7711, 0.1047, 0.3531)  4 Si 2.62-2.89
Ca (0.6891, 0.7274, 0.8944)  6 Si 3.08-3.18, 2 Ag 3.30
Ca (0.5120, 0.3019, 0.6741)  6 Si 3.11-3.21, 4 Ag 3.14-3.20
Ca (0.3109, 0.2726, 0.1056)  6 Si 3.08-3.18, 2 Ag 3.30
Ca (0.4880, 0.6981, 0.3259)  6 Si 3.11-3.21, 4 Ag 3.14-3.20


## C
VASP calculation (PBE-GGA) on Ca2Si2Ag after structural relaxation.

## Properties
total magnetic moment = 0.0 μB per cell
theoretical density = 3.0 g/cm³
N(E_F) = 5.12 states/eV/cell

Lattice parameters (Å, degrees): 4.8905 4.8905 6.6113 68.29 68.29 90.00
Closest atoms and distances in Å follow each position.
Sites, in units of the cell vectors:
Si (0.5980, 0.5980, 0.8041)  1 Si 2.21
Si (0.4020, 0.4020, 0.1959)  1 Si 2.21
Ag (0.0000, 0.0000, 0.0000)  8 Si 3.63, 8 Ca 3.73
Ca (0.2500, 0.7500, 0.5000)  4 Si 2.99
Ca (0.7500, 0.2500, 0.5000)  4 Si 2.99


The computed energies, referenced to the most stable structure and given in eV/atom, are A 0.086; B 0.000; C 0.615.


## A
VASP calculation (PBE-GGA) on CaSm2Ag after structural relaxation.

## Properties
total magnetic moment = 0.0 μB per cell
theoretical density = 5.8 g/cm³
N(E_F) = 6.21 states/eV/cell

Lattice parameters (Å, degrees): 3.6909 3.6909 9.3911 90.00 90.00 90.00
Closest atoms and distances in Å follow each position.
Sites, in units of the cell vectors:
Sm (0.0000, 0.0000, 0.1948)  4 Ag 3.19
Sm (0.0000, 0.0000, 0.8052)  4 Ag 3.19
Ca (0.5000, 0.5000, 0.5000)  4 Ca 3.69, 8 Sm 3.88
Ag (0.5000, 0.5000, 0.0000)  8 Sm 3.19


## B
VASP calculation (PBE-GGA) on CaSm2Ag after structural relaxation.

## Properties
total magnetic moment = 0.0 μB per cell
theoretical density = 6.0 g/cm³
N(E_F) = 10.06 states/eV/cell

Lattice parameters (Å, degrees): 4.0759 6.6442 9.6651 90.00 90.00 107.89
Closest atoms and distances in Å follow each position.
Sites, in units of the cell vectors:
Sm (0.3605, 0.7222, 0.9507)  3 Ag 3.11-3.26
Sm (0.6395, 0.2778, 0.0493)  3 Ag 3.11-3.26
Sm (0.3605, 0.7222, 0.5493)  3 Ag 3.11-3.26
Sm (0.6395, 0.2778, 0.4507)  3 Ag 3.11-3.26
Ag (0.7563, 0.5140, 0.7500)  6 Sm 3.11-3.26, 2 Ca 3.28
Ag (0.2437, 0.4860, 0.2500)  6 Sm 3.11-3.26, 2 Ca 3.28
Ca (0.9461, 0.8921, 0.2500)  2 Ag 3.28
Ca (0.0539, 0.1079, 0.7500)  2 Ag 3.28


The computed energies, referenced to the most stable structure and given in eV/atom, are A 0.033; B 0.000.


## A
VASP calculation (PBE-GGA) on CaSmZnAg after structural relaxation.

## Properties
total magnetic moment = 0.0 μB per cell
theoretical density = 6.0 g/cm³
N(E_F) = 3.19 states/eV/cell

Lattice parameters (Å, degrees): 3.7043 3.7043 7.3146 90.00 90.00 90.00
Closest atoms and distances in Å follow each position.
Sites, in units of the cell vectors:
Ca (0.5000, 0.5000, 0.1114)  4 Zn 3.23, 4 Ag 3.26, 1 Sm 3.57
Zn (0.0000, 0.0000, 0.3694)  4 Sm 3.12, 4 Ca 3.23
Ag (0.0000, 0.0000, 0.8471)  4 Sm 3.18, 4 Ca 3.26, 1 Zn 3.49
Sm (0.5000, 0.5000, 0.6001)  4 Zn 3.12, 4 Ag 3.18


## B
VASP calculation (PBE-GGA) on CaSmZnAg after structural relaxation.

## Properties
total magnetic moment = 0.0 μB per cell
theoretical density = 6.1 g/cm³
N(E_F) = 3.48 states/eV/cell

Lattice parameters (Å, degrees): 5.1983 5.1983 5.1983 60.00 60.00 60.00
Closest atoms and distances in Å follow each position.
Sites, in units of the cell vectors:
Zn (0.7500, 0.7500, 0.7500)  4 Ca 3.18, 4 Sm 3.18
Ca (0.5000, 0.5000, 0.5000)  4 Zn 3.18, 4 Ag 3.18
Sm (0.0000, 0.0000, 0.0000)  4 Zn 3.18, 4 Ag 3.18
Ag (0.2500, 0.2500, 0.2500)  4 Sm 3.18, 4 Ca 3.18


The computed energies, referenced to the most stable structure and given in eV/atom, are A 0.000; B 0.007.